Record 1
Entry from Alexandria: a geometry-optimized LuZrFeRu structure (PBE).

Lattice parameters (Å, degrees): 4.609 4.609 4.609 60.00 60.00 60.00
Element x y z (fractional)
Ru: 0.250 0.250 0.250
Lu: 0.500 0.500 0.500
Fe: 0.750 0.750 0.750
Zr: 0.000 0.000 0.000

## Properties
Symmetry: F-43m (216)
Formation energy: -0.289 eV per atom
Energy: -7.991 eV per atom
Total moment: 0.24 Bohr magnetons per cell


Record 2
Entry from Alexandria: a geometry-optimized Lu2FeS structure (PBE).

Lattice parameters (Å, degrees): 3.426 3.426 9.043 79.08 79.08 60.00
Element x y z (fractional)
S: 0.500 0.500 0.500
Lu: 0.101 0.101 0.697
Lu: 0.899 0.899 0.303
Fe: 0.000 0.000 0.000

## Properties
Formation energy without anion corrections: -0.2425 eV/atom
Symmetry: R-3m (166)
Energy: -5.651 eV per atom
Total moment: 2.30 Bohr magnetons per cell


Record 3
Entry from Alexandria: a geometry-optimized Lu2FeS4 structure (PBE).

Lattice parameters (Å, degrees): 7.638 7.638 7.638 60.00 60.00 60.00
Element x y z (fractional)
S: 0.373 0.373 0.373
S: 0.369 0.877 0.877
S: 0.877 0.877 0.369
S: 0.877 0.369 0.877
S: 0.373 0.373 0.881
S: 0.373 0.881 0.373
S: 0.877 0.877 0.877
S: 0.881 0.373 0.373
Lu: 0.625 0.125 0.125
Lu: 0.125 0.125 0.125
Lu: 0.125 0.625 0.125
Lu: 0.125 0.125 0.625
Fe: 0.500 0.500 0.500
Fe: 0.750 0.750 0.750

## Properties
Formation energy without anion corrections: -1.4861 eV/atom
Symmetry: Fd-3m (227)
Energy: -6.345 eV per atom
Total moment: 8.00 Bohr magnetons per cell


Record 4
Entry from Alexandria: a geometry-optimized LuFe4Sb structure (PBE).

Lattice parameters (Å, degrees): 5.001 5.001 5.001 60.00 60.00 60.00
Element x y z (fractional)
Sb: 0.250 0.250 0.250
Lu: 0.000 0.000 0.000
Fe: 0.625 0.625 0.124
Fe: 0.625 0.124 0.625
Fe: 0.625 0.625 0.625
Fe: 0.124 0.625 0.625

## Properties
Formation energy without anion corrections: -0.1088 eV/atom
Symmetry: F-43m (216)
Energy: -7.191 eV per atom
Total moment: 7.56 Bohr magnetons per cell


Record 5
Entry from Alexandria: a geometry-optimized LuSc3Fe structure (PBE).

Lattice parameters (Å, degrees): 4.903 4.903 4.903 90.00 90.00 90.00
Element x y z (fractional)
Sc: 0.000 0.500 0.000
Sc: 0.000 0.000 0.500
Sc: 0.500 0.000 0.000
Lu: 0.500 0.500 0.500
Fe: 0.000 0.000 0.000

## Properties
Symmetry: Pm-3m (221)
Formation energy: 0.026 eV per atom
Energy: -6.369 eV per atom
Total moment: 0.00 Bohr magnetons per cell


Record 6
Entry from Alexandria: a geometry-optimized LuScFe structure (PBE).

Lattice parameters (Å, degrees): 3.196 3.196 6.367 104.54 104.54 90.00
Element x y z (fractional)
Sc: 0.293 0.293 0.585
Lu: 0.036 0.036 0.071
Fe: 0.672 0.672 0.344

## Properties
Symmetry: I4mm (107)
Formation energy: -0.077 eV per atom
Energy: -6.515 eV per atom
Total moment: 0.00 Bohr magnetons per cell


Record 7
Entry from Alexandria: a geometry-optimized LuScZnFe structure (PBE).

Lattice parameters (Å, degrees): 4.675 4.675 4.675 60.00 60.00 60.00
Element x y z (fractional)
Sc: 0.250 0.250 0.250
Zn: 0.000 0.000 0.000
Lu: 0.750 0.750 0.750
Fe: 0.500 0.500 0.500

## Properties
Symmetry: F-43m (216)
Formation energy: -0.144 eV per atom
Energy: -5.291 eV per atom
Total moment: 0.67 Bohr magnetons per cell


Record 8
Entry from Alexandria: a geometry-optimized LuFeSi2 structure (PBE).

Lattice parameters (Å, degrees): 3.878 3.878 5.320 68.62 68.62 60.00
Element x y z (fractional)
Si: 0.710 0.710 0.871
Si: 0.290 0.290 0.129
Lu: 0.500 0.500 0.500
Fe: 0.000 0.000 0.000

## Properties
Formation energy without anion corrections: -0.6233 eV/atom
Symmetry: R-3m (166)
Energy: -6.581 eV per atom
Total moment: 0.00 Bohr magnetons per cell


Record 9
Entry from Alexandria: a geometry-optimized SmLu3Fe structure (PBE).

Lattice parameters (Å, degrees): 5.170 5.170 5.170 90.00 90.00 90.00
Element x y z (fractional)
Lu: 0.000 0.500 0.000
Lu: 0.000 0.000 0.500
Lu: 0.500 0.000 0.000
Fe: 0.000 0.000 0.000
Sm: 0.500 0.500 0.500

## Properties
Symmetry: Pm-3m (221)
Formation energy: 0.053 eV per atom
Energy: -5.295 eV per atom
Total moment: 0.00 Bohr magnetons per cell


Record 10
Entry from Alexandria: a geometry-optimized Sm3LuFe structure (PBE).

Lattice parameters (Å, degrees): 5.327 5.327 5.327 90.00 90.00 90.00
Element x y z (fractional)
Lu: 0.500 0.500 0.500
Fe: 0.000 0.000 0.000
Sm: 0.000 0.500 0.000
Sm: 0.000 0.000 0.500
Sm: 0.500 0.000 0.000

## Properties
Symmetry: Pm-3m (221)
Formation energy: 0.195 eV per atom
Energy: -5.234 eV per atom
Total moment: 0.00 Bohr magnetons per cell


Record 11
Entry from Alexandria: a geometry-optimized SmLuFe4 structure (PBE).

Lattice parameters (Å, degrees): 5.145 5.145 5.145 60.00 60.00 60.00
Element x y z (fractional)
Lu: 0.000 0.000 0.000
Fe: 0.625 0.625 0.124
Fe: 0.625 0.124 0.625
Fe: 0.625 0.625 0.625
Fe: 0.124 0.625 0.625
Sm: 0.250 0.250 0.250

## Properties
Symmetry: F-43m (216)
Formation energy: -0.070 eV per atom
Energy: -7.252 eV per atom
Total moment: 7.43 Bohr magnetons per cell


Record 12
Entry from Alexandria: a geometry-optimized SmLu2Fe structure (PBE).

Lattice parameters (Å, degrees): 3.308 3.308 8.887 90.00 90.00 90.00
Element x y z (fractional)
Lu: 0.000 0.000 0.825
Lu: 0.000 0.000 0.175
Fe: 0.500 0.500 0.000
Sm: 0.500 0.500 0.500

## Properties
Symmetry: P4/mmm (123)
Formation energy: 0.010 eV per atom
Energy: -5.546 eV per atom
Total moment: 0.00 Bohr magnetons per cell